1.
CeInHgPt: optimized geometry, PBE-GGA.

```
data_CeInHgPt
_cell_length_a 7.121
_cell_length_b 7.121
_cell_length_c 7.121
_cell_angle_alpha 90.00
_cell_angle_beta 90.00
_cell_angle_gamma 90.00
_space_group_name_H-M_alt 'F -4 3 m'
_space_group_IT_number 216
_space_group_name_Hall 'F -4 2 3'
loop_
_atom_site_label
_atom_site_type_symbol
_atom_site_fract_x
_atom_site_fract_y
_atom_site_fract_z
Ce1 Ce 0.000 0.000 0.000
In1 In 0.000 0.000 0.500
Hg1 Hg 0.250 0.250 0.250
Pt1 Pt 0.250 0.250 0.750
```

Values from the calculation:
- E_form: -2.3 eV/f.u.
- Total magnetic moment: 2.36 μB/cell

2.
Pm3Pr4Tl: optimized geometry, PBE-GGA.

```
data_Pm3Pr4Tl
_cell_length_a 5.053
_cell_length_b 5.053
_cell_length_c 20.959
_cell_angle_alpha 90.00
_cell_angle_beta 90.00
_cell_angle_gamma 90.00
_space_group_name_H-M_alt 'I 4/m m m'
_space_group_IT_number 139
_space_group_name_Hall '-I 4 2'
loop_
_atom_site_label
_atom_site_type_symbol
_atom_site_fract_x
_atom_site_fract_y
_atom_site_fract_z
Pm1 Pm 0.000 0.000 0.000
Pm2 Pm 0.000 0.000 0.248
Pr1 Pr 0.000 0.500 0.121
Tl1 Tl 0.000 0.000 0.500
```

Values from the calculation:
- E_form: -0.6 eV/f.u.
- Total magnetic moment: 0.00 μB/cell
- Energy above the most stable polymorph in this dataset: 0 meV/atom

3.
CdSiAu2: optimized geometry, PBE-GGA.

```
data_CdSiAu2
_cell_length_a 7.595
_cell_length_b 7.595
_cell_length_c 5.552
_cell_angle_alpha 90.00
_cell_angle_beta 90.00
_cell_angle_gamma 90.00
_space_group_name_H-M_alt 'I -4 2 d'
_space_group_IT_number 122
_space_group_name_Hall 'I -4 2bw'
loop_
_atom_site_label
_atom_site_type_symbol
_atom_site_fract_x
_atom_site_fract_y
_atom_site_fract_z
Cd1 Cd 0.000 0.000 0.000
Si1 Si 0.000 0.000 0.500
Au1 Au 0.195 0.250 0.625
```

Values from the calculation:
- Total magnetic moment: 0.00 μB/cell
- Energy relative to the elements, uncorrected: 0.4 eV/f.u.
- Energy above the most stable polymorph in this dataset: 87 meV/atom

4.
BC2: optimized geometry, PBE-GGA.

```
data_BC2
_cell_length_a 11.834
_cell_length_b 2.616
_cell_length_c 5.192
_cell_angle_alpha 90.00
_cell_angle_beta 100.27
_cell_angle_gamma 90.00
_space_group_name_H-M_alt 'C 1 2/m 1'
_space_group_IT_number 12
_space_group_name_Hall '-C 2y'
loop_
_atom_site_label
_atom_site_type_symbol
_atom_site_fract_x
_atom_site_fract_y
_atom_site_fract_z
B1 B 0.064 0.000 0.223
B2 B 0.125 0.500 0.703
C1 C 0.043 0.000 0.640
C2 C 0.137 0.500 0.201
C3 C 0.212 0.500 0.986
C4 C 0.217 0.500 0.474
```

Values from the calculation:
- E_form: 1.0 eV/f.u.
- Total magnetic moment: 0.00 μB/cell
- Energy above the most stable polymorph in this dataset: 101 meV/atom

5.
NdSmHo2Tm5: optimized geometry, PBE-GGA.

```
data_NdSmHo2Tm5
_cell_length_a 8.841
_cell_length_b 8.841
_cell_length_c 14.660
_cell_angle_alpha 90.00
_cell_angle_beta 90.00
_cell_angle_gamma 90.00
_space_group_name_H-M_alt 'I 4/m c m'
_space_group_IT_number 140
_space_group_name_Hall '-I 4 2c'
loop_
_atom_site_label
_atom_site_type_symbol
_atom_site_fract_x
_atom_site_fract_y
_atom_site_fract_z
Nd1 Nd 0.000 0.000 0.250
Sm1 Sm 0.000 0.500 0.250
Ho1 Ho 0.114 0.386 0.000
Tm1 Tm 0.000 0.000 0.000
Tm2 Tm 0.204 0.296 0.368
```

Values from the calculation:
- E_form: 2.6 eV/f.u.
- Total magnetic moment: 0.00 μB/cell

6.
Ba2Y2O5: optimized geometry, PBE-GGA.

```
data_Ba2Y2O5
_cell_length_a 12.524
_cell_length_b 4.333
_cell_length_c 7.164
_cell_angle_alpha 90.00
_cell_angle_beta 123.80
_cell_angle_gamma 90.00
_space_group_name_H-M_alt 'C 1 2/m 1'
_space_group_IT_number 12
_space_group_name_Hall '-C 2y'
loop_
_atom_site_label
_atom_site_type_symbol
_atom_site_fract_x
_atom_site_fract_y
_atom_site_fract_z
Ba1 Ba 0.130 0.000 0.480
Y1 Y 0.113 0.500 0.915
O1 O 0.000 0.500 0.500
O2 O 0.113 0.500 0.227
O3 O 0.156 0.000 0.882
```

Values from the calculation:
- Total magnetic moment: 0.00 μB/cell
- Energy relative to the elements, uncorrected: -27.3 eV/f.u.